The following is a PBE calculation of Hf2TiCdN after structural relaxation, from Alexandria via LeMat-Bulk.

For the total energy, the calculation gives -8.167 eV/atom. The value obtained for the formation energy from raw total energies is -0.7581 eV per atom. As for the symmetry: P4/mmm (123). The calculation puts the volume at 16.70 Å³/atom.

Unit cell a=4.4727 b=4.4727 c=4.1748 alpha=90.00 beta=90.00 gamma=90.00
Element x y z (fractional)
Hf  0.0000  0.5000  0.0000
Hf  0.5000  0.0000  0.0000
Ti  0.0000  0.0000  0.5000
Cd  0.5000  0.5000  0.5000
N  0.0000  0.0000  0.0000